4
Lattice="2.8762 0.0000 0.0000 0.0000 2.8762 0.0000 0.0000 0.0000 7.9081" Properties=species:S:1:pos:R:3 comment="PBE TlTcOs2, optimized geometry" delta_e_f_ev_per_atom=0.58 pbc="T T T"
Tc 1.4381 1.4381 1.9770
Os 0.0000 0.0000 0.2380
Os 0.0000 0.0000 3.7161
Tl 1.4381 1.4381 5.9311

4
Lattice="2.8326 -0.0038 0.0000 -1.3320 2.4999 0.0000 0.0000 0.0000 9.4696" Properties=species:S:1:pos:R:3 comment="PBE TlTc2Os, optimized geometry" delta_e_f_ev_per_atom=0.78 pbc="T T T"
Tc 0.0000 0.0000 4.9163
Tc 0.0000 0.0000 9.2882
Os 0.7503 1.2481 7.1022
Tl 0.7503 1.2481 2.3674

4
Lattice="4.8674 -0.0022 0.0312 4.0161 2.7500 0.0312 0.8754 0.2708 4.9387" Properties=species:S:1:pos:R:3 comment="PBE TlTcOs2, optimized geometry" delta_e_f_ev_per_atom=0.71 pbc="T T T"
Tl 7.3250 2.2657 3.7061
Os 2.4078 0.7448 1.1620
Os 8.7959 2.7207 0.3246
Tc 4.9932 1.5445 2.3710

no.,distance to the lowest polymorph of the same formula (meV/atom)
1,0
2,322
3,134